The following is a GGA-PBE calculation of a relaxed CrFe2H2 crystal, from Alexandria via LeMat-Bulk.

ΔE to the lowest computed polymorph in kJ per mole of atoms: 19.6
DFT total energy in eV per atom: -6.3905
Calculated volume in Å³ per cell: 75.4

Unit cell a=5.3743 b=5.3743 c=2.6096 alpha=90.00 beta=90.00 gamma=90.00
Closest atoms and distances in Å follow each position.
Element x y z (fractional)
Cr (0.0000, 0.0000, 0.0000)  4 H 1.95
Cr (0.5000, 0.5000, 0.0000)  4 H 1.95
Fe (0.1473, 0.3527, 0.5000)  2 H 1.78
Fe (0.3527, 0.8527, 0.5000)  2 H 1.78
Fe (0.6473, 0.1473, 0.5000)  2 H 1.78
Fe (0.8527, 0.6473, 0.5000)  2 H 1.78
H (0.1933, 0.6933, 0.0000)  2 Fe 1.78, 2 Cr 1.95
H (0.3067, 0.1933, 0.0000)  2 Fe 1.78, 2 Cr 1.95
H (0.6933, 0.8067, 0.0000)  2 Fe 1.78, 2 Cr 1.95
H (0.8067, 0.3067, 0.0000)  2 Fe 1.78, 2 Cr 1.95